The following is a DFT calculation (GGA-PBE) of a relaxed NbTeN2 crystal.

CIF file:
```
data_NbTeN2
_cell_length_a 3.1907
_cell_length_b 3.1907
_cell_length_c 20.4029
_cell_angle_alpha 90.00
_cell_angle_beta 90.00
_cell_angle_gamma 120.00
_space_group_name_H-M_alt 'R -3 m'
_space_group_IT_number 166
_space_group_name_Hall '-R 3 2"'
loop_
_atom_site_label
_atom_site_type_symbol
_atom_site_fract_x
_atom_site_fract_y
_atom_site_fract_z
_atom_site_occupancy
Nb1 Nb 0.0000 0.0000 0.0000 1
Te1 Te 0.0000 0.0000 0.5000 1
N1 N 0.0000 0.0000 0.3883 1
```

The following is a DFT calculation (GGA-PBE) of a relaxed NbTeN2 crystal.

CIF file:
```
data_NbTeN2
_cell_length_a 5.569
_cell_length_b 5.569
_cell_length_c 9.295
_cell_angle_alpha 90.00
_cell_angle_beta 90.00
_cell_angle_gamma 90.00
_space_group_name_H-M_alt 'I -4 2 d'
_space_group_IT_number 122
_space_group_name_Hall 'I -4 2bw'
loop_
_atom_site_label
_atom_site_type_symbol
_atom_site_fract_x
_atom_site_fract_y
_atom_site_fract_z
_atom_site_occupancy
Nb1 Nb 0.000 0.000 0.000 1
Te1 Te 0.000 0.000 0.500 1
N1 N 0.134 0.250 0.125 1
```

| no. | formation energy without anion corrections (eV per atom) | total magnetization (μB per formula unit) |
| --- | --- | --- |
| 1 | -0.17 | 0.000 |
| 2 | 0.14 | 0.000 |